P | # PBE-GGA NaAlIN2, optimized geometry
data_NaAlIN2
_chemical_formula_sum 'Na1 Al1 I1 N2'
_space_group_name_H-M_alt 'P 4/m m m'
_space_group_IT_number 123
_space_group_name_Hall '-P 4 2'
_cell_length_a 3.942
_cell_length_b 3.942
_cell_length_c 6.142
_cell_angle_alpha 90.00
_cell_angle_beta 90.00
_cell_angle_gamma 90.00
loop_
_atom_site_label
_atom_site_type_symbol
_atom_site_fract_x
_atom_site_fract_y
_atom_site_fract_z
_atom_site_occupancy
Na1 Na 0.000 0.000 0.000 1
Al1 Al 0.500 0.500 0.500 1
I1 I 0.500 0.500 0.000 1
N1 N 0.000 0.500 0.500 1
# calculated density	3.56	g cm⁻³
# V	95.5	Å³ per cell
# crystal system	tetragonal
# total magnetization	2.4	μB per formula unit

Q | # PBE-GGA NaAlIN2, optimized geometry
data_NaAlIN2
_chemical_formula_sum 'Na1 Al1 I1 N2'
_space_group_name_H-M_alt 'P 4/m m m'
_space_group_IT_number 123
_space_group_name_Hall '-P 4 2'
_cell_length_a 4.749
_cell_length_b 4.749
_cell_length_c 6.364
_cell_angle_alpha 90.00
_cell_angle_beta 90.00
_cell_angle_gamma 90.00
loop_
_atom_site_label
_atom_site_type_symbol
_atom_site_fract_x
_atom_site_fract_y
_atom_site_fract_z
_atom_site_occupancy
Na1 Na 0.000 0.000 0.000 1
Al1 Al 0.500 0.500 0.500 1
I1 I 0.000 0.000 0.500 1
N1 N 0.000 0.500 0.000 1
# calculated density	2.37	g cm⁻³
# V	143.5	Å³ per cell
# crystal system	tetragonal
# total magnetization	5.0	μB per formula unit

Least stable of them? Q.

P | # PBE-GGA NbAlI2N, optimized geometry
data_NbAlI2N
_chemical_formula_sum 'Nb1 Al1 I2 N1'
_space_group_name_H-M_alt 'P 4/m m m'
_space_group_IT_number 123
_space_group_name_Hall '-P 4 2'
_cell_length_a 5.697
_cell_length_b 5.697
_cell_length_c 3.498
_cell_angle_alpha 90.00
_cell_angle_beta 90.00
_cell_angle_gamma 90.00
loop_
_atom_site_label
_atom_site_type_symbol
_atom_site_fract_x
_atom_site_fract_y
_atom_site_fract_z
_atom_site_occupancy
Nb1 Nb 0.000 0.000 0.000 1
Al1 Al 0.500 0.500 0.500 1
I1 I 0.000 0.500 0.500 1
N1 N 0.500 0.500 0.000 1
# calculated density	5.67	g cm⁻³
# V	113.5	Å³ per cell
# crystal system	tetragonal
# total magnetization	2.6	μB per formula unit

Q | # PBE-GGA NbAlI2N, optimized geometry
data_NbAlI2N
_chemical_formula_sum 'Nb1 Al1 I2 N1'
_space_group_name_H-M_alt 'P 4/m m m'
_space_group_IT_number 123
_space_group_name_Hall '-P 4 2'
_cell_length_a 5.841
_cell_length_b 5.841
_cell_length_c 3.965
_cell_angle_alpha 90.00
_cell_angle_beta 90.00
_cell_angle_gamma 90.00
loop_
_atom_site_label
_atom_site_type_symbol
_atom_site_fract_x
_atom_site_fract_y
_atom_site_fract_z
_atom_site_occupancy
Nb1 Nb 0.000 0.000 0.000 1
Al1 Al 0.500 0.500 0.500 1
I1 I 0.000 0.500 0.000 1
N1 N 0.000 0.000 0.500 1
# calculated density	4.76	g cm⁻³
# V	135.3	Å³ per cell
# crystal system	tetragonal
# total magnetization	0.9	μB per formula unit

Least stable of them? P.